# 1
Y9HoIn2 | PBE | relaxed

For the calculated formation energy, the calculation gives -169 meV/atom. The value obtained for the total energy is -70.265 eV per cell.

The space group is P4/mmm (No. 123) and the conventional cell measures 4.889, 4.889 and 15.011 Å, with angles of 90.00, 90.00 and 90.00 degrees. The inequivalent atoms are Y at (0.000, 0.000, 0.000), Y at (0.000, 0.000, 0.338), Y at (0.000, 0.500, 0.173), Y at (0.000, 0.500, 0.500), Ho at (0.500, 0.500, 0.000) and In at (0.500, 0.500, 0.339).

# 2
Y6Ho8In | PBE | relaxed

The calculation puts the relative energy among the computed polymorphs at 0 meV per atom. For the calculated formation energy, the calculation gives 16 meV/atom. The value obtained for the total energy is -233.701 eV per cell.

The space group is R-3 (No. 148, hexagonal axes) and the conventional cell measures 8.9694, 8.9694 and 20.1418 Å, with angles of 90.00, 90.00 and 120.00 degrees. The inequivalent atoms are Y at (0.0649, 0.8107, 0.2047), Ho at (0.0000, 0.0000, 0.0755), Ho at (0.0819, 0.5251, 0.3097) and In at (0.0000, 0.0000, 0.5000).

# 3
Y4HoIn | PBE | relaxed

The calculation puts the relative energy among the computed polymorphs at 512 meV per atom. For the calculated formation energy, the calculation gives 351 meV/atom. The value obtained for the total energy is -62.138 eV per cell.

The space group is C2/m (No. 12) and the conventional cell measures 7.426, 7.426 and 7.630 Å, with angles of 90.00, 90.08 and 90.00 degrees. The inequivalent atoms are Y at (0.250, 0.250, 0.244), Ho at (0.000, 0.000, 0.500) and In at (0.000, 0.500, 0.000).

# 4
Y2Ho3In | PBE | relaxed

The calculation puts the relative energy among the computed polymorphs at 381 meV per atom. For the calculated formation energy, the calculation gives 218 meV/atom. The value obtained for the total energy is -56.179 eV per cell.

The space group is Immm (No. 71) and the conventional cell measures 5.738, 6.395 and 10.153 Å, with angles of 90.00, 90.00 and 90.00 degrees. The inequivalent atoms are Y at (0.000, 0.000, 0.186), Ho at (0.000, 0.500, 0.153), Ho at (0.000, 0.500, 0.500) and In at (0.000, 0.000, 0.500).

# 5
Y2HoIn3 | PBE | relaxed

The calculation puts the relative energy among the computed polymorphs at 0 meV per atom. For the calculated formation energy, the calculation gives -483 meV/atom. The value obtained for the total energy is -28.620 eV per cell.

The space group is P4/mmm (No. 123) and the conventional cell measures 3.741, 3.741 and 11.375 Å, with angles of 90.00, 90.00 and 90.00 degrees. The inequivalent atoms are Y at (0.000, 0.000, 0.168), Ho at (0.000, 0.000, 0.500), In at (0.500, 0.500, 0.000) and In at (0.500, 0.500, 0.335).

# 6
Y14HoIn | PBE | relaxed

For the calculated formation energy, the calculation gives -26 meV/atom. The value obtained for the total energy is -196.448 eV per cell.

The space group is Amm2 (No. 38) and the conventional cell measures 10.916, 8.440 and 11.018 Å, with angles of 90.00, 90.00 and 90.00 degrees. The inequivalent atoms are Y at (0.000, 0.000, 0.000), Y at (0.000, 0.000, 0.449), Y at (0.000, 0.201, 0.729), Y at (0.226, 0.000, 0.227), Y at (0.258, 0.208, 0.508), Y at (0.279, 0.000, 0.789), Y at (0.500, 0.207, 0.291), Ho at (0.500, 0.000, 0.021) and In at (0.500, 0.000, 0.573).

Listing D(E_F) for the structures above in their given order: 15.89 20.08 9.39 9.40 3.30 25.34 states/eV/f.u..